Material: CsLiCo2F8
Method: DFT, GGA+U
State: relaxed

Unit cell a=6.047 b=5.076 c=6.541 alpha=97.70 beta=74.31 gamma=88.83
Last column: magnetic moment on the atom in μB.
Sites, in units of the cell vectors:
F 0.860 0.322 0.211  -0.04
F 0.763 0.800 0.147  0.03
F 0.644 0.328 0.878  0.05
F 0.356 0.672 0.122  0.05
F 0.411 0.313 0.355  0.04
F 0.589 0.687 0.645  0.04
F 0.237 0.200 0.853  0.03
F 0.140 0.678 0.789  -0.04
Li 0.000 0.000 0.000  0.00
Co 0.391 0.501 0.818  1.87
Cs 0.000 0.000 0.500  0.00
Co 0.609 0.499 0.182  1.87

## Properties
The total magnetization is 4.00 Bohr magnetons per cell. The final energy is -53.741 eV for the cell shown.